(1)
Material: YPuGePt
Method: DFT, GGA-PBE
State: optimized geometry

abc: 7.1121 7.1121 7.1121
angles: 90.00 90.00 90.00
With the nearest neighbours (Å) after each atom.
Space group F-43m (No. 216)
Asymmetric unit:
Y (0.0000, 0.0000, 0.0000) x4  4 Ge 3.08, 4 Pt 3.08
Pu (0.0000, 0.0000, 0.5000) x4  4 Ge 3.08, 4 Pt 3.08
Ge (0.2500, 0.2500, 0.2500) x4  4 Pu 3.08, 4 Y 3.08
Pt (0.2500, 0.2500, 0.7500) x4  4 Pu 3.08, 4 Y 3.08

## Properties
- E_form (eV per atom) = -0.70
- volume (Å³/f.u.) = 89.9



(2)
Material: YPu2Ge3Pt4
Method: DFT, GGA-PBE
State: optimized geometry

abc: 4.2055 4.2055 11.5295
angles: 90.00 90.00 90.00
With the nearest neighbours (Å) after each atom.
Space group P-4m2 (No. 115)
Asymmetric unit:
Y (0.0000, 0.0000, 0.0000) x1  4 Pt 2.81, 4 Ge 2.97
Pu (0.0000, 0.5000, 0.7303) x2  4 Ge 3.21, 8 Pt 3.22-3.39
Ge (0.0000, 0.5000, 0.3750) x2  5 Pt 2.46-2.55
Ge (0.5000, 0.5000, 0.0000) x1  4 Pt 2.81, 4 Y 2.97
Pt (0.0000, 0.0000, 0.5000) x1  4 Ge 2.55
Pt (0.0000, 0.5000, 0.1617) x2  1 Ge 2.46
Pt (0.5000, 0.5000, 0.5000) x1  4 Ge 2.55

## Properties
- E_form (eV per atom) = -0.75
- volume (Å³/f.u.) = 203.9



(3)
Material: Pu2ZnGePt6
Method: DFT, GGA-PBE
State: optimized geometry

abc: 11.6432 5.4826 7.6290
angles: 90.00 129.60 90.00
With the nearest neighbours (Å) after each atom.
Space group C2/m (No. 12)
Asymmetric unit:
Pu (0.0001, 0.0000, 0.2459) x4  7 Pt 2.93-3.15
Zn (0.0000, 0.5000, 0.0000) x2  6 Pt 2.48-2.67
Ge (0.0000, 0.5000, 0.5000) x2  6 Pt 2.45-2.66
Pt (0.1740, 0.5000, 0.4221) x4  1 Ge 2.45, 1 Zn 2.48
Pt (0.2477, 0.2500, 0.8052) x8  1 Ge 2.66, 1 Zn 2.67, 5 Pt 2.74-2.94

## Properties
- E_form (eV per atom) = -0.57
- volume (Å³/f.u.) = 187.6



(4)
Material: Pu2ZnGe4Pt3
Method: DFT, GGA-PBE
State: optimized geometry

abc: 4.2663 4.2663 10.4853
angles: 90.00 90.00 90.00
With the nearest neighbours (Å) after each atom.
Space group P-4m2 (No. 115)
Asymmetric unit:
Pu (0.0000, 0.5000, 0.2467) x2  8 Ge 3.22-3.41, 6 Pt 3.29-3.35, 2 Zn 3.35
Zn (0.5000, 0.5000, 0.0000) x1  4 Ge 2.58
Ge (0.0000, 0.0000, 0.5000) x1  4 Pt 2.52
Ge (0.0000, 0.5000, 0.8618) x2  3 Pt 2.45-2.58, 2 Zn 2.58
Ge (0.5000, 0.5000, 0.5000) x1  4 Pt 2.52
Pt (0.0000, 0.0000, 0.0000) x1  4 Ge 2.58
Pt (0.0000, 0.5000, 0.6278) x2  5 Ge 2.45-2.52

## Properties
- E_form (eV per atom) = -0.61
- volume (Å³/f.u.) = 190.8



(5)
Material: RbGePt
Method: DFT, GGA-PBE
State: optimized geometry

abc: 4.2165 4.2165 5.7340
angles: 90.00 90.00 120.00
With the nearest neighbours (Å) after each atom.
Space group P-6m2 (No. 187)
Asymmetric unit:
Rb (0.0000, 0.0000, 0.0000) x1  6 Ge 3.76, 6 Pt 3.76
Ge (0.3333, 0.6667, 0.5000) x1  3 Pt 2.43
Pt (0.6667, 0.3333, 0.5000) x1  3 Ge 2.43

## Properties
- E_form (eV per atom) = -0.32
- volume (Å³/f.u.) = 88.3



(6)
Material: RbGe3Pt3
Method: DFT, GGA-PBE
State: optimized geometry

abc: 6.9766 6.9766 6.9766
angles: 90.00 90.00 90.00
With the nearest neighbours (Å) after each atom.
Space group Pm-3n (No. 223)
Asymmetric unit:
Rb (0.0000, 0.0000, 0.0000) x2  12 Ge 3.90, 12 Pt 3.90
Ge (0.0000, 0.2500, 0.5000) x6  4 Pt 2.47
Pt (0.0000, 0.5000, 0.2500) x6  4 Ge 2.47

## Properties
- E_form (eV per atom) = -0.39
- volume (Å³/f.u.) = 169.8



no.,calculated density (g cm⁻³)
1,11.09
2,12.83
3,15.90
4,12.44
5,6.64
6,8.69